Version 1
Compound: P2PdPtCl
Source: Alexandria
Functional: PBE
Structure: optimized geometry

```
5
Lattice="4.656 0.000 0.000 0.000 4.656 0.000 0.000 0.000 4.658" Properties=species:S:1:pos:R:3 pbc="T T T"
P 0.000 2.328 0.000
P 2.328 0.000 0.000
Pd 0.000 0.000 0.000
Pt 2.328 2.328 2.329
Cl 0.000 0.000 2.329
```


Version 2
Compound: P2PdPtCl
Source: Alexandria
Functional: PBE
Structure: optimized geometry

```
5
Lattice="4.618 0.000 0.000 0.000 4.618 0.000 0.000 0.000 5.012" Properties=species:S:1:pos:R:3 pbc="T T T"
P 0.000 2.309 0.000
P 2.309 0.000 0.000
Pd 0.000 0.000 2.506
Pt 2.309 2.309 0.000
Cl 2.309 2.309 2.506
```


Least stable structure among those shown: version 1.